! K3PrB2O6 (GGA-PBE, optimized geometry); values from VASP
&SYSTEM
  ibrav = 0, nat = 12, ntyp = 4
/
ATOMIC_SPECIES
K 39.10 K.upf
Pr 140.91 Pr.upf
B 10.81 B.upf
O 16.00 O.upf
CELL_PARAMETERS angstrom
5.684 0.000 0.000
-2.842 4.923 0.000
0.000 0.000 7.024
ATOMIC_POSITIONS angstrom
K 0.000 0.000 0.000
K 0.000 3.282 5.277
K 2.842 1.641 1.747
Pr 0.000 0.000 3.512
B 0.000 3.282 2.024
B 2.842 1.641 5.000
O 0.000 1.887 2.029
O -1.208 3.979 2.029
O 1.634 0.943 4.995
O 1.208 3.979 2.029
O 4.051 0.943 4.995
O 2.842 3.036 4.995
! DOS at the Fermi energy	0.0	states/eV/cell
! size of the total moment	0.000	μB/atom
! E_form (uncorrected)	-29.25	eV per formula unit

! CeDyTcIr (GGA-PBE, optimized geometry); values from VASP
&SYSTEM
  ibrav = 0, nat = 4, ntyp = 4
/
ATOMIC_SPECIES
Ce 140.12 Ce.upf
Dy 162.50 Dy.upf
Tc 98.00 Tc.upf
Ir 192.22 Ir.upf
CELL_PARAMETERS angstrom
0.000 3.449 3.449
3.449 0.000 3.449
3.449 3.449 0.000
ATOMIC_POSITIONS angstrom
Ce 0.000 0.000 0.000
Dy 3.449 3.449 3.449
Tc 5.173 5.173 5.173
Ir 1.724 1.724 1.724
! DOS at the Fermi energy	3.4	states/eV/cell
! size of the total moment	0.000	μB/atom
! energy of formation	-0.369	eV/atom

! Be2PtW (GGA-PBE, optimized geometry); values from VASP
&SYSTEM
  ibrav = 0, nat = 4, ntyp = 3
/
ATOMIC_SPECIES
Be 9.01 Be.upf
Pt 195.08 Pt.upf
W 183.84 W.upf
CELL_PARAMETERS angstrom
2.711 0.000 0.000
0.000 3.694 0.000
-0.014 0.000 5.013
ATOMIC_POSITIONS angstrom
Be 0.008 0.000 1.107
Be 2.689 0.000 3.907
Pt -0.007 1.847 2.507
W 1.355 1.847 0.000
! DOS at the Fermi energy	1.4	states/eV/cell
! size of the total moment	0.000	μB/atom
! energy of formation	-0.162	eV/atom

! Pm2PrDy4 (GGA-PBE, optimized geometry); values from VASP
&SYSTEM
  ibrav = 0, nat = 14, ntyp = 3
/
ATOMIC_SPECIES
Pm 145.00 Pm.upf
Pr 140.91 Pr.upf
Dy 162.50 Dy.upf
CELL_PARAMETERS angstrom
6.145 0.000 0.000
0.000 6.628 0.000
-2.904 0.000 11.330
ATOMIC_POSITIONS angstrom
Pm -0.796 1.657 5.546
Pm 1.978 4.971 0.556
Pm 1.263 1.657 10.774
Pm 4.037 4.971 5.784
Pr 1.006 4.971 7.227
Pr 2.234 1.657 4.104
Dy -1.335 0.053 8.942
Dy -1.335 3.261 8.942
Dy 1.098 1.657 0.860
Dy 1.196 4.971 3.782
Dy 2.044 1.657 7.548
Dy 2.143 4.971 10.470
Dy 4.576 3.367 2.388
Dy 4.576 6.575 2.388
! DOS at the Fermi energy	22.1	states/eV/cell
! size of the total moment	0.000	μB/atom
! energy of formation	0.119	eV/atom

Question: Number 3 is which compound?
Answer: Be2PtW